(1)
A plane-wave DFT calculation with PBE was carried out for PmHoSc2Se4 after structural relaxation.

a = 6.925 Å, b = 3.958 Å, c = 6.996 Å
α = 90.00°, β = 108.92°, γ = 90.00°
Fractional coordinates of all 8 atoms:
Pm1 0.000 0.000 0.000
Ho1 0.500 0.500 0.000
Sc1 0.000 0.500 0.500
Sc2 0.500 0.000 0.500
Se1 0.250 0.000 0.732
Se2 0.263 0.500 0.272
Se3 0.737 0.500 0.728
Se4 0.750 0.000 0.268

Its space-group type is P2/m (10). For the density of states at the Fermi level, the calculation gives 5.037 states/eV per cell. The value obtained for the uncorrected formation energy is -1291 kJ/mol of formula units. As for the magnetization: 0.0 μB/cell.

=====

(2)
A plane-wave DFT calculation with PBE was carried out for PmHo2ScSe4 after structural relaxation.

a = 6.994 Å, b = 4.009 Å, c = 7.110 Å
α = 90.00°, β = 108.91°, γ = 90.00°
Fractional coordinates of all 8 atoms:
Pm1 0.000 0.000 0.000
Ho1 0.500 0.000 0.500
Ho2 0.500 0.500 0.000
Sc1 0.000 0.500 0.500
Se1 0.246 0.000 0.737
Se2 0.254 0.500 0.263
Se3 0.746 0.500 0.737
Se4 0.754 0.000 0.263

Its space-group type is P2/m (10). For the density of states at the Fermi level, the calculation gives 4.874 states/eV per cell. The value obtained for the uncorrected formation energy is -1310 kJ/mol of formula units. As for the magnetization: 0.0 μB/cell.

=====

(3)
A plane-wave DFT calculation with PBE was carried out for Pm2HoSc3Se6 after structural relaxation.

a = 8.992 Å, b = 8.992 Å, c = 8.093 Å
α = 103.63°, β = 103.63°, γ = 25.60°
Fractional coordinates of all 12 atoms:
Pm1 0.168 0.168 0.336
Pm2 0.832 0.832 0.664
Ho1 0.500 0.500 0.000
Sc1 0.170 0.170 0.833
Sc2 0.500 0.500 0.500
Sc3 0.830 0.830 0.167
Se1 0.006 0.006 0.745
Se2 0.332 0.332 0.934
Se3 0.340 0.340 0.402
Se4 0.660 0.660 0.598
Se5 0.668 0.668 0.066
Se6 0.994 0.994 0.255

Its space-group type is C2/m (12). For the density of states at the Fermi level, the calculation gives 6.230 states/eV per cell. The value obtained for the uncorrected formation energy is -1951 kJ/mol of formula units. As for the magnetization: 0.0 μB/cell.